Tb2HoPd | Alexandria | PBE | optimized geometry; ΔE_f = -0.286 eV per atom; V = 28.6 Å³/atom; DOS(E_F) = 1.228 states/eV per atom; SG = R3m; E above lowest polymorph = 183 meV/atom; M_tot = 0.25 μB/cell
1.0
-0.478 2.329 2.851
-1.612 -1.196 3.123
7.880 -2.114 5.464
Ho Tb Pd
1 2 1
direct
0.500 0.500 0.499 Ho
0.066 0.066 0.801 Tb
0.267 0.267 0.200 Tb
0.667 0.667 0.000 Pd